Record 1
This record from Alexandria via LeMat-Bulk describes a relaxed ZnIr2Se crystal. The functional is PBE.

Unit cell a=5.281 b=5.281 c=4.614 alpha=67.19 beta=67.19 gamma=32.03
Element x y z (fractional)
Ir (0.989, 0.989, 0.931)
Ir (0.247, 0.247, 0.309)
Se (0.524, 0.524, 0.451)
Zn (0.740, 0.740, 0.809)

Summary:
**N(E_F)**: 3.2 states/eV/f.u.
**Final energy**: -21.671 eV for the cell shown
**Uncorrected formation energy**: 0.20 eV per atom
**Density**: 14.1 g cm⁻³

---

Record 2
This record from Alexandria via LeMat-Bulk describes a relaxed ZnIr2Se crystal. The functional is PBE.

Unit cell a=4.460 b=4.460 c=4.460 alpha=60.00 beta=60.00 gamma=60.00
Element x y z (fractional)
Ir (0.000, 0.000, 0.000)
Ir (0.250, 0.250, 0.250)
Se (0.500, 0.500, 0.500)
Zn (0.750, 0.750, 0.750)

Summary:
**N(E_F)**: 5.0 states/eV/f.u.
**Final energy**: -20.389 eV for the cell shown
**Uncorrected formation energy**: 0.52 eV per atom
**Density**: 14.0 g cm⁻³

---

Record 3
This record from Alexandria via LeMat-Bulk describes a relaxed ZnIrSe2 crystal. The functional is PBE.

Unit cell a=4.513 b=4.227 c=4.226 alpha=71.21 beta=90.00 gamma=90.00
Element x y z (fractional)
Ir (0.500, 0.734, 0.734)
Se (0.000, 0.905, 0.905)
Se (0.500, 0.338, 0.338)
Zn (0.000, 0.522, 0.522)

Summary:
**N(E_F)**: 3.0 states/eV/f.u.
**Final energy**: -17.236 eV for the cell shown
**Uncorrected formation energy**: -0.03 eV per atom
**Density**: 9.0 g cm⁻³

---

Record 4
This record from Alexandria via LeMat-Bulk describes a relaxed ZnIr2Se crystal. The functional is PBE.

Unit cell a=2.829 b=2.829 c=8.915 alpha=90.00 beta=90.00 gamma=119.83
Element x y z (fractional)
Ir (0.000, 0.000, 0.992)
Ir (0.000, 0.000, 0.508)
Se (0.500, 0.500, 0.250)
Zn (0.500, 0.500, 0.750)

Summary:
**N(E_F)**: 4.7 states/eV/f.u.
**Final energy**: -21.227 eV for the cell shown
**Uncorrected formation energy**: 0.31 eV per atom
**Density**: 14.2 g cm⁻³

---

Record 5
This record from Alexandria via LeMat-Bulk describes a relaxed ZnIr2Se crystal. The functional is PBE.

Unit cell a=2.802 b=2.802 c=10.136 alpha=90.00 beta=90.00 gamma=121.05
Element x y z (fractional)
Ir (0.000, 0.000, 0.012)
Ir (0.500, 0.500, 0.240)
Se (0.000, 0.000, 0.457)
Zn (0.500, 0.500, 0.791)

Summary:
**N(E_F)**: 3.0 states/eV/f.u.
**Final energy**: -21.119 eV for the cell shown
**Uncorrected formation energy**: 0.34 eV per atom
**Density**: 12.9 g cm⁻³

---

Record 6
This record from Alexandria via LeMat-Bulk describes a relaxed ZnIrSe2 crystal. The functional is PBE.

Unit cell a=4.722 b=4.722 c=3.016 alpha=90.00 beta=90.00 gamma=90.01
Element x y z (fractional)
Ir (0.000, 0.500, 0.500)
Se (0.000, 0.000, 0.000)
Se (0.500, 0.500, 0.000)
Zn (0.500, 0.000, 0.500)

Summary:
**N(E_F)**: 1.4 states/eV/f.u.
**Final energy**: -15.872 eV for the cell shown
**Uncorrected formation energy**: 0.31 eV per atom
**Density**: 10.3 g cm⁻³

---

Record 7
This record from Alexandria via LeMat-Bulk describes a relaxed ZnIr2Se crystal. The functional is PBE.

Unit cell a=4.998 b=4.998 c=4.998 alpha=135.01 beta=135.01 gamma=65.51
Element x y z (fractional)
Ir (0.000, 0.000, 0.000)
Ir (0.250, 0.750, 0.500)
Se (0.500, 0.500, 0.000)
Zn (0.750, 0.250, 0.500)

Summary:
**N(E_F)**: 3.3 states/eV/f.u.
**Final energy**: -20.984 eV for the cell shown
**Uncorrected formation energy**: 0.37 eV per atom
**Density**: 14.3 g cm⁻³

---

Record 8
This record from Alexandria via LeMat-Bulk describes a relaxed ZnIr2Se crystal. The functional is PBE.

Unit cell a=4.367 b=2.840 c=5.266 alpha=102.76 beta=90.00 gamma=90.00
Element x y z (fractional)
Ir (0.000, 0.113, 0.979)
Ir (0.000, 0.387, 0.521)
Se (0.500, 0.250, 0.250)
Zn (0.500, 0.750, 0.750)

Summary:
**N(E_F)**: 3.1 states/eV/f.u.
**Final energy**: -21.557 eV for the cell shown
**Uncorrected formation energy**: 0.23 eV per atom
**Density**: 13.8 g cm⁻³

---

Record 9
This record from Alexandria via LeMat-Bulk describes a relaxed ZnIrSe2 crystal. The functional is PBE.

Unit cell a=6.608 b=6.608 c=6.608 alpha=147.66 beta=144.40 gamma=48.86
Element x y z (fractional)
Ir (0.250, 0.750, 0.500)
Se (0.110, 0.110, 0.000)
Se (0.390, 0.390, 0.000)
Zn (0.750, 0.250, 0.500)

Summary:
**N(E_F)**: 3.0 states/eV/f.u.
**Final energy**: -17.693 eV for the cell shown
**Uncorrected formation energy**: -0.15 eV per atom
**Density**: 7.7 g cm⁻³

---

Record 10
This record from Alexandria via LeMat-Bulk describes a relaxed ZnIrSe2 crystal. The functional is PBE.

Unit cell a=4.817 b=4.817 c=5.816 alpha=72.84 beta=72.84 gamma=45.43
Element x y z (fractional)
Ir (0.300, 0.300, 0.386)
Se (0.888, 0.888, 0.091)
Se (0.725, 0.725, 0.679)
Zn (0.587, 0.587, 0.344)

Summary:
**N(E_F)**: 2.5 states/eV/f.u.
**Final energy**: -17.587 eV for the cell shown
**Uncorrected formation energy**: -0.12 eV per atom
**Density**: 7.6 g cm⁻³

---

Record 11
This record from Alexandria via LeMat-Bulk describes a relaxed ZnIrSe2 crystal. The functional is PBE.

Unit cell a=4.990 b=4.990 c=4.990 alpha=131.64 beta=131.64 gamma=70.79
Element x y z (fractional)
Ir (0.750, 0.250, 0.500)
Se (0.000, 0.000, 0.000)
Se (0.250, 0.750, 0.500)
Zn (0.500, 0.500, 0.000)

Summary:
**N(E_F)**: 3.0 states/eV/f.u.
**Final energy**: -15.261 eV for the cell shown
**Uncorrected formation energy**: 0.46 eV per atom
**Density**: 10.2 g cm⁻³

---

Record 12
This record from Alexandria via LeMat-Bulk describes a relaxed ZnIrSe2 crystal. The functional is PBE.

Unit cell a=3.009 b=3.009 c=10.092 alpha=90.00 beta=90.00 gamma=122.73
Element x y z (fractional)
Ir (0.500, 0.500, 0.750)
Se (0.000, 0.000, 0.959)
Se (0.000, 0.000, 0.541)
Zn (0.500, 0.500, 0.250)

Summary:
**N(E_F)**: 2.9 states/eV/f.u.
**Final energy**: -15.565 eV for the cell shown
**Uncorrected formation energy**: 0.38 eV per atom
**Density**: 9.0 g cm⁻³

---

Record 13
This record from Alexandria via LeMat-Bulk describes a relaxed ZnIrSe2 crystal. The functional is PBE.

Unit cell a=3.062 b=4.816 c=4.610 alpha=90.00 beta=90.00 gamma=90.00
Element x y z (fractional)
Ir (0.000, 0.500, 0.500)
Se (0.000, 0.000, 0.000)
Se (0.500, 0.500, 0.000)
Zn (0.500, 0.000, 0.500)

Summary:
**N(E_F)**: 3.5 states/eV/f.u.
**Final energy**: -15.144 eV for the cell shown
**Uncorrected formation energy**: 0.49 eV per atom
**Density**: 10.2 g cm⁻³

---

Record 14
This record from Alexandria via LeMat-Bulk describes a relaxed ZnIr2Se crystal. The functional is PBE.

Unit cell a=4.501 b=4.501 c=2.998 alpha=90.00 beta=90.00 gamma=97.41
Element x y z (fractional)
Ir (0.000, 0.000, 0.000)
Ir (0.500, 0.500, 0.000)
Se (0.500, 0.000, 0.500)
Zn (0.000, 0.500, 0.500)

Summary:
**N(E_F)**: 2.5 states/eV/f.u.
**Final energy**: -21.570 eV for the cell shown
**Uncorrected formation energy**: 0.23 eV per atom
**Density**: 14.6 g cm⁻³

---

Record 15
This record from Alexandria via LeMat-Bulk describes a relaxed ZnIr2Se crystal. The functional is PBE.

Unit cell a=8.342 b=8.342 c=8.342 alpha=20.29 beta=20.29 gamma=20.29
Element x y z (fractional)
Ir (0.999, 0.999, 0.999)
Ir (0.501, 0.501, 0.501)
Se (0.250, 0.250, 0.250)
Zn (0.750, 0.750, 0.750)

Summary:
**N(E_F)**: 3.1 states/eV/f.u.
**Final energy**: -21.808 eV for the cell shown
**Uncorrected formation energy**: 0.17 eV per atom
**Density**: 14.4 g cm⁻³